First-principles (PBE) data for a geometry-optimized Be2PtCl structure, as listed in the Alexandria database.

Computed properties:
Its formation energy from raw total energies is -0.1273 eV per atom. Its energy above the most stable polymorph in this dataset is 410 meV per atom. The total magnetization comes out at 0.00 μB per cell.

Cell lengths 5.2539, 5.2539, 6.0425 Å; angles 64.23, 64.23, 90.00 degrees
Closest atoms and distances in Å follow each position.
Positions (direct):
Be (0.6341, 0.1250, 0.2500)  2 Pt 2.18, 2 Cl 2.24
Be (0.1159, 0.6250, 0.2500)  2 Pt 2.18, 2 Cl 2.24
Be (0.3750, 0.3659, 0.7500)  2 Pt 2.18, 2 Cl 2.24
Be (0.8750, 0.8841, 0.7500)  2 Pt 2.18, 2 Cl 2.24
Pt (0.0000, 0.0000, 0.0000)  4 Be 2.18
Pt (0.7500, 0.2500, 0.5000)  4 Be 2.18
Cl (0.5000, 0.5000, 0.0000)  4 Be 2.24
Cl (0.2500, 0.7500, 0.5000)  4 Be 2.24